No. 1
A plane-wave DFT calculation with GGA-PBE was carried out for an optimized crystal structure of KPm2PuO8.

Unit cell a=4.1507 b=5.9901 c=7.3739 alpha=89.43 beta=74.05 gamma=87.05
With the nearest neighbours (Å) after each atom.
Fractional positions:
K  0.0000  0.0000  0.0000  6 O 2.72-2.92
Pm  0.3513  0.5219  0.2885  6 O 2.35-2.47
Pm  0.6487  0.4781  0.7115  6 O 2.35-2.47
Pu  0.5000  0.0000  0.5000  4 O 1.92-1.95
O  0.1781  0.4904  0.0010  1 O 1.48
O  0.2127  0.7929  0.6585  1 Pu 1.92
O  0.2143  0.3341  0.5794  1 Pu 2.27, 3 Pm 2.35-2.47
O  0.3625  0.9233  0.2769  1 Pu 1.95
O  0.6375  0.0767  0.7231  1 Pu 1.95
O  0.7857  0.6659  0.4206  1 Pu 2.27, 3 Pm 2.35-2.47
O  0.7873  0.2071  0.3415  1 Pu 1.92
O  0.8219  0.5096  0.9990  1 O 1.48

Computed properties:
- Raw formation energy: -2.482 eV per atom
- Mass density: 6.6 g/cm³
- Symmetry: P-1, No. 2
- V: 176 Å³ per cell



No. 2
A plane-wave DFT calculation with GGA-PBE was carried out for an optimized crystal structure of KPm2PuO6.

Unit cell a=6.3787 b=6.3787 c=6.3787 alpha=56.85 beta=56.85 gamma=56.85
With the nearest neighbours (Å) after each atom.
Fractional positions:
K  0.0000  0.0000  0.0000  3 O 2.62
Pm  0.2591  0.2591  0.2591  6 O 2.33-2.48
Pm  0.7753  0.7753  0.7753  6 O 2.31-2.45
Pu  0.4665  0.4665  0.4665  6 O 2.13-2.20
O  0.0921  0.6078  0.4343  1 Pu 2.13, 1 Pm 2.31
O  0.2022  0.5367  0.8469  1 Pu 2.20, 2 Pm 2.33-2.45
O  0.4343  0.0921  0.6078  1 Pu 2.13, 1 Pm 2.31
O  0.5367  0.8469  0.2022  1 Pu 2.20, 2 Pm 2.33-2.45
O  0.6078  0.4343  0.0921  1 Pu 2.13, 1 Pm 2.31
O  0.8469  0.2022  0.5367  1 Pu 2.20, 2 Pm 2.33-2.45

Computed properties:
- Raw formation energy: -2.909 eV per atom
- Mass density: 6.5 g/cm³
- N(E_F): 11.35 states/eV per cell
- Symmetry: R3, No. 146
- V: 170 Å³ per cell